# Cs3Tm2ThTe6 | Alexandria via LeMat-Bulk | PBE | optimized geometry
data_Cs3Tm2ThTe6
_cell_length_a 7.826
_cell_length_b 13.556
_cell_length_c 9.352
_cell_angle_alpha 90.00
_cell_angle_beta 106.22
_cell_angle_gamma 90.00
_symmetry_space_group_name_H-M 'C 1 2/m 1'
_symmetry_Int_Tables_number 12
loop_
_symmetry_equiv_pos_as_xyz
'x,y,z'
'-x,-y,-z'
'-x,y,-z'
'x,-y,z'
'x+1/2,y+1/2,z'
'-x+1/2,-y+1/2,-z'
'-x+1/2,y+1/2,-z'
'x+1/2,-y+1/2,z'
loop_
_atom_site_label
_atom_site_type_symbol
_atom_site_fract_x
_atom_site_fract_y
_atom_site_fract_z
_atom_site_occupancy
Cs1 Cs 0.000 0.000 0.000 1
Cs2 Cs 0.000 0.335 0.000 1
Tm1 Tm 0.000 0.167 0.500 1
Th1 Th 0.000 0.500 0.500 1
Te1 Te 0.223 0.000 0.691 1
Te2 Te 0.234 0.330 0.692 1
# raw formation energy	-1286	meV per atom